Record 1
! SrInGa2Pd2 PBE relaxed; values from VASP
&SYSTEM
  ibrav = 0, nat = 6, ntyp = 4
/
ATOMIC_SPECIES
Sr 87.62 Sr.upf
In 114.82 In.upf
Ga 69.72 Ga.upf
Pd 106.42 Pd.upf
ATOMIC_POSITIONS crystal
Sr 0.000 0.000 0.000
In 0.000 0.000 0.500
Ga 0.667 0.333 0.282
Ga 0.333 0.667 0.718
Pd 0.667 0.333 0.661
Pd 0.333 0.667 0.339
CELL_PARAMETERS angstrom
-0.549 -0.571 4.389
-0.201 -3.507 -2.747
7.329 -1.033 0.782
! Formation energy, kJ/mol of formula units: -345

***

Record 2
! SrIn2GaPd2 PBE relaxed; values from VASP
&SYSTEM
  ibrav = 0, nat = 6, ntyp = 4
/
ATOMIC_SPECIES
Sr 87.62 Sr.upf
In 114.82 In.upf
Ga 69.72 Ga.upf
Pd 106.42 Pd.upf
ATOMIC_POSITIONS crystal
Sr 0.000 0.000 0.500
In 0.500 0.500 0.744
In 0.500 0.500 0.256
Ga 0.000 0.000 0.000
Pd 0.500 0.000 0.000
Pd 0.000 0.500 0.000
CELL_PARAMETERS angstrom
-0.002 3.785 -2.954
-4.801 -0.001 0.002
0.001 3.807 4.877
! Formation energy, kJ/mol of formula units: -286

***

Record 3
! Sr2InGa2Pd5 PBE relaxed; values from VASP
&SYSTEM
  ibrav = 0, nat = 20, ntyp = 4
/
ATOMIC_SPECIES
Sr 87.62 Sr.upf
In 114.82 In.upf
Ga 69.72 Ga.upf
Pd 106.42 Pd.upf
ATOMIC_POSITIONS crystal
Sr 0.000 0.677 0.177
Sr 0.000 0.323 0.823
Sr 0.000 0.177 0.323
Sr 0.000 0.823 0.677
In 0.000 0.000 0.000
In 0.000 0.500 0.500
Ga 0.000 0.121 0.621
Ga 0.000 0.879 0.379
Ga 0.000 0.621 0.879
Ga 0.000 0.379 0.121
Pd 0.500 0.210 0.062
Pd 0.500 0.790 0.938
Pd 0.500 0.062 0.790
Pd 0.500 0.710 0.438
Pd 0.500 0.938 0.210
Pd 0.500 0.290 0.562
Pd 0.500 0.562 0.710
Pd 0.500 0.438 0.290
Pd 0.500 0.500 0.000
Pd 0.500 0.000 0.500
CELL_PARAMETERS angstrom
-3.441 1.004 0.576
-1.910 -0.670 -10.239
-2.726 -10.007 1.163
! Formation energy, kJ/mol of formula units: -621

***

- Which of these has the highest formation energy?
  SrIn2GaPd2